Entry 1:
VNi5Rh | GGA-PBE | relaxed

Properties
* energy of formation from the pure elements: 85 meV/atom
* calculated total energy: -89.559 eV for the cell shown
* crystal system: monoclinic
* theoretical density: 8.716 g cm⁻³
* SG: No. 15

Unit cell a=4.6612 b=4.6612 c=9.1570 alpha=93.88 beta=93.88 gamma=59.24
With the nearest neighbours (Å) after each atom.
Sites, in units of the cell vectors:
V1 0.2424 0.7576 0.7500  6 Ni 2.27-2.42
V2 0.7576 0.2424 0.2500  6 Ni 2.27-2.42
Ni1 0.1524 0.1647 0.5556  5 Ni 2.38-2.65, 1 V 2.55, 1 Rh 2.64
Ni2 0.1647 0.1524 0.0556  5 Ni 2.38-2.65, 1 V 2.55, 1 Rh 2.64
Ni3 0.2493 0.7507 0.2500  2 V 2.27-2.34, 6 Ni 2.39-2.54
Ni4 0.2496 0.2614 0.8167  8 Ni 2.38-2.65, 2 V 2.40-2.42, 1 Rh 2.50
Ni5 0.2614 0.2496 0.3167  8 Ni 2.38-2.65, 2 V 2.40-2.42, 1 Rh 2.50
Ni6 0.7386 0.7504 0.6833  8 Ni 2.38-2.65, 2 V 2.40-2.42, 1 Rh 2.50
Ni7 0.7504 0.7386 0.1833  8 Ni 2.38-2.65, 2 V 2.40-2.42, 1 Rh 2.50
Ni8 0.7507 0.2493 0.7500  2 V 2.27-2.34, 6 Ni 2.39-2.54
Ni9 0.8353 0.8476 0.9444  5 Ni 2.38-2.65, 1 V 2.55, 1 Rh 2.64
Ni10 0.8476 0.8353 0.4444  5 Ni 2.38-2.65, 1 V 2.55, 1 Rh 2.64
Rh1 0.5000 0.5000 0.0000  8 Ni 2.50-2.69, 2 V 2.58
Rh2 0.5000 0.5000 0.5000  8 Ni 2.50-2.69, 2 V 2.58



Entry 2:
VNiRhW | GGA-PBE | relaxed

Properties
* energy of formation from the pure elements: -9 meV/atom
* calculated total energy: -35.242 eV for the cell shown
* crystal system: cubic
* theoretical density: 12.073 g cm⁻³
* SG: No. 216

Unit cell a=4.2562 b=4.2562 c=4.2562 alpha=60.00 beta=60.00 gamma=60.00
With the nearest neighbours (Å) after each atom.
Sites, in units of the cell vectors:
V1 0.0000 0.0000 0.0000  4 Rh 2.61, 4 W 2.61
Ni1 0.5000 0.5000 0.5000  4 Rh 2.61, 4 W 2.61
Rh1 0.7500 0.7500 0.7500  4 Ni 2.61, 4 V 2.61
W1 0.2500 0.2500 0.2500  4 Ni 2.61, 4 V 2.61



Entry 3:
VZnNiRh | GGA-PBE | relaxed

Properties
* energy of formation from the pure elements: -259 meV/atom
* calculated total energy: -24.562 eV for the cell shown
* crystal system: cubic
* energy above the lowest structure with this stoichiometry: 0.036 eV/atom
* theoretical density: 8.792 g cm⁻³
* SG: No. 216

Unit cell a=4.2029 b=4.2029 c=4.2029 alpha=60.00 beta=60.00 gamma=60.00
With the nearest neighbours (Å) after each atom.
Sites, in units of the cell vectors:
V1 0.0000 0.0000 0.0000  4 Ni 2.57, 4 Rh 2.57
Zn1 0.5000 0.5000 0.5000  4 Rh 2.57, 4 Ni 2.57
Ni1 0.2500 0.2500 0.2500  4 Zn 2.57, 4 V 2.57
Rh1 0.7500 0.7500 0.7500  4 Zn 2.57, 4 V 2.57



Entry 4:
VZnNiRh | GGA-PBE | relaxed

Properties
* energy of formation from the pure elements: -295 meV/atom
* calculated total energy: -24.704 eV for the cell shown
* crystal system: tetragonal
* energy above the lowest structure with this stoichiometry: 0.000 eV/atom
* theoretical density: 8.835 g cm⁻³
* SG: No. 99

Unit cell a=2.7505 b=2.7505 c=6.9048 alpha=90.00 beta=90.00 gamma=90.00
With the nearest neighbours (Å) after each atom.
Sites, in units of the cell vectors:
V1 0.0000 0.0000 0.0000  4 Ni 2.56, 4 Rh 2.60, 4 V 2.75
Zn1 0.0000 0.0000 0.5177  4 Ni 2.56, 4 Rh 2.68, 4 Zn 2.75
Ni1 0.5000 0.5000 0.7580  4 Zn 2.56, 4 V 2.56, 4 Ni 2.75
Rh1 0.5000 0.5000 0.2505  4 V 2.60, 4 Zn 2.68, 4 Rh 2.75



Entry 5:
NiRhW2 | GGA-PBE | relaxed

Properties
* energy of formation from the pure elements: 137 meV/atom
* calculated total energy: -38.490 eV for the cell shown
* crystal system: trigonal
* energy above the lowest structure with this stoichiometry: 0.191 eV/atom
* theoretical density: 14.927 g cm⁻³
* SG: No. 160

Unit cell a=9.0505 b=9.0505 c=9.0505 alpha=17.56 beta=17.56 gamma=17.56
With the nearest neighbours (Å) after each atom.
Sites, in units of the cell vectors:
Ni1 0.0000 0.0000 0.0000  3 W 2.62, 3 Rh 2.70, 6 Ni 2.76
Rh1 0.7482 0.7482 0.7482  3 W 2.67, 3 Ni 2.70, 6 Rh 2.76
W1 0.2556 0.2556 0.2556  3 Ni 2.62, 6 W 2.76
W2 0.4950 0.4950 0.4950  3 Rh 2.67, 9 W 2.76-2.97



Entry 6:
Ni23Rh6W | GGA-PBE | relaxed

Properties
* energy of formation from the pure elements: 106 meV/atom
* calculated total energy: -186.843 eV for the cell shown
* crystal system: cubic
* theoretical density: 9.911 g cm⁻³
* SG: No. 225

Unit cell a=7.9882 b=7.9882 c=7.9882 alpha=60.00 beta=60.00 gamma=60.00
With the nearest neighbours (Å) after each atom.
Sites, in units of the cell vectors:
Ni1 0.0000 0.0000 0.0000  8 Ni 2.38
Ni2 0.0000 0.0000 0.5000  8 Ni 2.31-2.47
Ni3 0.0000 0.5000 0.0000  8 Ni 2.31-2.47
Ni4 0.0000 0.5000 0.5000  8 Ni 2.31-2.47
Ni5 0.0063 0.6646 0.6646  6 Ni 2.31-2.51
Ni6 0.1214 0.1214 0.1214  7 Ni 2.38-2.51, 3 Rh 2.61
Ni7 0.1214 0.1214 0.6359  7 Ni 2.38-2.51, 3 Rh 2.61
Ni8 0.1214 0.6359 0.1214  7 Ni 2.38-2.51, 3 Rh 2.61
Ni9 0.3354 0.3354 0.3354  6 Ni 2.31-2.51
Ni10 0.3354 0.3354 0.9937  6 Ni 2.31-2.51
Ni11 0.3354 0.9937 0.3354  6 Ni 2.31-2.51
Ni12 0.3641 0.8786 0.8786  7 Ni 2.38-2.51, 3 Rh 2.61
Ni13 0.5000 0.0000 0.0000  8 Ni 2.31-2.47
Ni14 0.5000 0.0000 0.5000  8 Ni 2.31-2.47
Ni15 0.5000 0.5000 0.0000  8 Ni 2.31-2.47
Ni16 0.6359 0.1214 0.1214  7 Ni 2.38-2.51, 3 Rh 2.61
Ni17 0.6646 0.0063 0.6646  6 Ni 2.31-2.51
Ni18 0.6646 0.6646 0.0063  6 Ni 2.31-2.51
Ni19 0.6646 0.6646 0.6646  6 Ni 2.31-2.51
Ni20 0.8786 0.3641 0.8786  7 Ni 2.38-2.51, 3 Rh 2.61
Ni21 0.8786 0.8786 0.3641  7 Ni 2.38-2.51, 3 Rh 2.61
Ni22 0.8786 0.8786 0.8786  7 Ni 2.38-2.51, 3 Rh 2.61
Ni23 0.9937 0.3354 0.3354  6 Ni 2.31-2.51
Rh1 0.2759 0.2759 0.7241  1 W 2.53, 8 Ni 2.61-2.71
Rh2 0.2759 0.7241 0.2759  1 W 2.53, 8 Ni 2.61-2.71
Rh3 0.2759 0.7241 0.7241  1 W 2.53, 8 Ni 2.61-2.71
Rh4 0.7241 0.2759 0.2759  1 W 2.53, 8 Ni 2.61-2.71
Rh5 0.7241 0.2759 0.7241  1 W 2.53, 8 Ni 2.61-2.71
Rh6 0.7241 0.7241 0.2759  1 W 2.53, 8 Ni 2.61-2.71
W1 0.5000 0.5000 0.5000  6 Rh 2.53



Entry 7:
NiRhW2 | GGA-PBE | relaxed

Properties
* energy of formation from the pure elements: -26 meV/atom
* calculated total energy: -39.142 eV for the cell shown
* crystal system: orthorhombic
* energy above the lowest structure with this stoichiometry: 0.028 eV/atom
* theoretical density: 15.318 g cm⁻³
* SG: No. 65

Unit cell a=4.7446 b=4.7446 c=2.7277 alpha=90.00 beta=90.00 gamma=110.87
With the nearest neighbours (Å) after each atom.
Sites, in units of the cell vectors:
Ni1 0.0000 0.0000 0.0000  2 Rh 2.69, 2 Ni 2.73, 8 W 2.74
Rh1 0.5000 0.5000 0.0000  2 Ni 2.69, 2 Rh 2.73, 8 W 2.74
W1 0.0000 0.5000 0.5000  4 W 2.69-2.73, 4 Ni 2.74, 4 Rh 2.74
W2 0.5000 0.0000 0.5000  4 W 2.69-2.73, 4 Ni 2.74, 4 Rh 2.74



Entry 8:
NiRhW2 | GGA-PBE | relaxed

Properties
* energy of formation from the pure elements: 101 meV/atom
* calculated total energy: -38.633 eV for the cell shown
* crystal system: orthorhombic
* energy above the lowest structure with this stoichiometry: 0.155 eV/atom
* theoretical density: 15.198 g cm⁻³
* SG: No. 22

Unit cell a=4.7009 b=4.6984 c=3.8977 alpha=65.53 beta=65.47 gamma=49.00
With the nearest neighbours (Å) after each atom.
Sites, in units of the cell vectors:
Ni1 0.0000 0.0000 0.0000  4 Rh 2.72, 8 W 2.72-2.76
Rh1 0.7500 0.7500 0.7500  8 W 2.72-2.76, 4 Ni 2.72
W1 0.2500 0.2500 0.2500  4 W 2.72, 4 Ni 2.72, 4 Rh 2.75-2.76
W2 0.5000 0.5000 0.5000  4 Rh 2.72, 4 W 2.72, 4 Ni 2.75-2.76



Entry 9:
Ni2Rh5W | GGA-PBE | relaxed

Properties
* energy of formation from the pure elements: 55 meV/atom
* calculated total energy: -121.671 eV for the cell shown
* crystal system: tetragonal
* theoretical density: 12.090 g cm⁻³
* SG: No. 140

Unit cell a=7.0687 b=7.0687 c=7.0687 alpha=125.83 beta=125.83 gamma=80.17
With the nearest neighbours (Å) after each atom.
Sites, in units of the cell vectors:
Ni1 0.1391 0.6391 0.7781  8 Rh 2.49-2.59, 1 Ni 2.53
Ni2 0.3609 0.1391 0.5000  8 Rh 2.49-2.59, 1 Ni 2.53
Ni3 0.6391 0.8609 0.5000  8 Rh 2.49-2.59, 1 Ni 2.53
Ni4 0.8609 0.3609 0.2219  8 Rh 2.49-2.59, 1 Ni 2.53
Rh1 0.0000 0.0000 0.0000  4 Ni 2.49, 2 W 2.70
Rh2 0.0109 0.8102 0.5000  3 Ni 2.54-2.59, 2 W 2.64, 4 Rh 2.66-2.73
Rh3 0.1898 0.6898 0.2006  3 Ni 2.54-2.59, 2 W 2.64, 4 Rh 2.66-2.73
Rh4 0.3102 0.5109 0.5000  3 Ni 2.54-2.59, 2 W 2.64, 4 Rh 2.66-2.73
Rh5 0.4891 0.9891 0.7994  3 Ni 2.54-2.59, 2 W 2.64, 4 Rh 2.66-2.73
Rh6 0.5000 0.5000 0.0000  4 Ni 2.49, 2 W 2.70
Rh7 0.5109 0.0109 0.2006  3 Ni 2.54-2.59, 2 W 2.64, 4 Rh 2.66-2.73
Rh8 0.6898 0.4891 0.5000  3 Ni 2.54-2.59, 2 W 2.64, 4 Rh 2.66-2.73
Rh9 0.8102 0.3102 0.7994  3 Ni 2.54-2.59, 2 W 2.64, 4 Rh 2.66-2.73
Rh10 0.9891 0.1898 0.5000  3 Ni 2.54-2.59, 2 W 2.64, 4 Rh 2.66-2.73
W1 0.2500 0.2500 0.0000  10 Rh 2.64-2.70
W2 0.7500 0.7500 0.0000  10 Rh 2.64-2.70



Entry 10:
NiRh4W | GGA-PBE | relaxed

Properties
* energy of formation from the pure elements: -88 meV/atom
* calculated total energy: -48.669 eV for the cell shown
* crystal system: monoclinic
* energy above the lowest structure with this stoichiometry: 0.000 eV/atom
* theoretical density: 12.857 g cm⁻³
* SG: No. 12

Unit cell a=5.9653 b=5.9653 c=5.4480 alpha=103.30 beta=103.30 gamma=26.65
With the nearest neighbours (Å) after each atom.
Sites, in units of the cell vectors:
Ni1 0.0000 0.0000 0.0000  8 Rh 2.61-2.67, 2 W 2.72, 2 Ni 2.75
Rh1 0.3362 0.3362 0.6707  2 Ni 2.67, 8 Rh 2.68-2.81, 2 W 2.69
Rh2 0.3431 0.3431 0.1651  2 Ni 2.61, 2 W 2.64, 8 Rh 2.68-2.82
Rh3 0.6569 0.6569 0.8349  2 Ni 2.61, 2 W 2.64, 8 Rh 2.68-2.82
Rh4 0.6638 0.6638 0.3293  2 Ni 2.67, 8 Rh 2.68-2.81, 2 W 2.69
W1 0.0000 0.0000 0.5000  8 Rh 2.64-2.69, 2 Ni 2.72, 2 W 2.75



Entry 11:
NiRhW | GGA-PBE | relaxed

Properties
* energy of formation from the pure elements: -162 meV/atom
* calculated total energy: -26.571 eV for the cell shown
* crystal system: orthorhombic
* energy above the lowest structure with this stoichiometry: 0.000 eV/atom
* theoretical density: 13.954 g cm⁻³
* SG: No. 44

Unit cell a=4.6467 b=4.6467 c=4.6467 alpha=145.80 beta=132.63 gamma=59.71
With the nearest neighbours (Å) after each atom.
Sites, in units of the cell vectors:
Ni1 0.0000 0.0000 0.0000  5 W 2.66-2.72, 5 Rh 2.67-2.69, 2 Ni 2.73
Rh1 0.6662 0.6662 0.0000  5 W 2.65-2.70, 5 Ni 2.67-2.69, 2 Rh 2.73
W1 0.3381 0.3381 0.0000  5 Rh 2.65-2.70, 5 Ni 2.66-2.72, 2 W 2.73



Entry 12:
NiRh2W | GGA-PBE | relaxed

Properties
* energy of formation from the pure elements: -38 meV/atom
* calculated total energy: -33.588 eV for the cell shown
* crystal system: orthorhombic
* energy above the lowest structure with this stoichiometry: 0.199 eV/atom
* theoretical density: 13.299 g cm⁻³
* SG: No. 65

Unit cell a=4.6317 b=4.6317 c=2.7472 alpha=90.00 beta=90.00 gamma=108.21
With the nearest neighbours (Å) after each atom.
Sites, in units of the cell vectors:
Ni1 0.0000 0.0000 0.0000  8 Rh 2.69, 2 W 2.72, 2 Ni 2.75
Rh1 0.0000 0.5000 0.5000  4 W 2.69, 4 Ni 2.69, 4 Rh 2.72-2.75
Rh2 0.5000 0.0000 0.5000  4 W 2.69, 4 Ni 2.69, 4 Rh 2.72-2.75
W1 0.5000 0.5000 0.0000  8 Rh 2.69, 2 Ni 2.72, 2 W 2.75